VASP calculation (PBE) on a relaxed structure of SmDy2CdAu4.

Unit cell a=5.043 b=5.043 c=8.792 alpha=73.33 beta=73.33 gamma=60.00
Fractional positions:
Sm  0.000  0.000  0.000
Dy  0.758  0.758  0.727
Dy  0.242  0.242  0.273
Cd  0.500  0.500  0.500
Au  0.370  0.370  0.890
Au  0.879  0.879  0.363
Au  0.121  0.121  0.637
Au  0.630  0.630  0.110

The calculation puts the energy of formation at -0.75 eV/atom.

---

VASP calculation (PBE) on a relaxed structure of SbMoIrI2.

Unit cell a=5.662 b=5.662 c=4.949 alpha=90.00 beta=90.00 gamma=90.00
Fractional positions:
I  0.000  0.500  0.000
I  0.500  0.000  0.000
Sb  0.000  0.000  0.500
Mo  0.500  0.500  0.500
Ir  0.000  0.000  0.000

The uncorrected formation energy comes out at 1.1466 eV per atom. The polymorph energy (0 for the lowest one) is 0 meV/atom.

---

VASP calculation (PBE) on a relaxed structure of PmNdPaO6.

Unit cell a=4.683 b=5.993 c=5.993 alpha=120.00 beta=90.00 gamma=90.00
Fractional positions:
Pm  0.500  0.000  0.000
Nd  0.500  0.667  0.333
Pa  0.000  0.333  0.667
O  0.749  0.645  0.669
O  0.749  0.331  0.976
O  0.749  0.024  0.355
O  0.251  0.331  0.355
O  0.251  0.645  0.976
O  0.251  0.024  0.669

The uncorrected formation energy comes out at -3.0997 eV per atom.

---

VASP calculation (PBE) on a relaxed structure of Ti2Ga2Ni7.

Unit cell a=6.095 b=4.541 c=6.095 alpha=113.87 beta=94.48 gamma=66.13
Fractional positions:
Ti  0.777  0.500  0.777
Ti  0.223  0.500  0.223
Ga  0.722  0.007  0.278
Ga  0.278  0.993  0.722
Ni  0.070  0.175  0.412
Ni  0.412  0.825  0.070
Ni  0.930  0.825  0.588
Ni  0.588  0.175  0.930
Ni  0.000  0.000  0.000
Ni  0.610  0.623  0.390
Ni  0.390  0.377  0.610

The calculation puts the energy of formation at -0.30 eV/atom.

---

VASP calculation (PBE) on a relaxed structure of CdMo2Os.

Unit cell a=2.755 b=2.755 c=9.350 alpha=90.00 beta=90.00 gamma=110.95
Fractional positions:
Cd  0.500  0.500  0.748
Mo  0.000  0.000  0.018
Mo  0.500  0.500  0.253
Os  0.000  0.000  0.481

The calculation puts the energy of formation at 0.36 eV/atom.

---

VASP calculation (PBE) on a relaxed structure of TiZnRe2Te.

Unit cell a=4.617 b=4.617 c=4.556 alpha=90.00 beta=90.00 gamma=90.00
Fractional positions:
Re  0.000  0.500  0.000
Re  0.500  0.000  0.000
Zn  0.000  0.000  0.000
Te  0.500  0.500  0.500
Ti  0.000  0.000  0.500

The uncorrected formation energy comes out at 1.4733 eV per atom. The polymorph energy (0 for the lowest one) is 0 meV/atom.